1.
Density functional theory data (GGA-PBEsol) for crystalline SmCoB5O10 at its relaxed geometry.

```
68
Lattice="7.5625 0.0000 0.0000 0.0000 8.6278 0.0335 0.0000 0.5260 9.3647" Properties=species:S:1:pos:R:3 pbc="T T T"
B 1.4293 3.7577 0.8067
B 5.2105 0.8192 3.8925
B 4.0315 6.4995 5.1933
B 6.8417 3.2451 4.6997
B 2.3519 8.3346 5.5058
B 0.5864 5.4618 7.1621
B 6.1332 5.3962 8.5916
B 4.5020 7.2960 0.0341
B 3.0605 1.8578 9.3641
B 2.4737 4.4784 5.7169
B 0.7207 5.9087 4.6985
B 0.2503 7.2313 8.9041
B 4.3676 8.2690 6.9353
B 3.5310 2.6544 4.2050
B 5.0888 4.6755 3.6814
B 6.2549 0.6246 8.3470
B 1.3076 8.5293 1.0513
B 3.1949 0.8849 2.4630
B 6.9761 3.6921 2.2361
B 7.3122 1.9226 0.4941
O 4.5932 6.0458 3.8937
O 6.7506 1.9949 8.5593
O 0.6690 4.3201 1.8062
O 5.8674 4.2356 4.8302
O 0.8119 7.1590 0.8390
O 4.9221 7.3735 5.9294
O 3.9455 3.7907 3.3314
O 0.3337 6.5230 3.5658
O 2.8053 7.2681 4.7833
O 7.2288 2.6309 5.8324
O 2.1530 8.4842 2.2684
O 4.7572 1.8858 4.6150
O 2.6595 4.3597 0.6483
O 3.1123 8.8970 6.5053
O 1.1408 6.3573 8.1679
O 1.6283 4.4333 6.9340
O 6.4217 2.7965 1.2303
O 3.4475 2.4721 8.2314
O 2.9693 3.1081 5.5046
O 6.8935 4.8338 7.5921
O 2.6404 1.7804 3.4688
O 1.1217 0.3088 5.3139
O 4.4502 0.2569 2.8929
O 4.0311 7.4877 8.1547
O 7.3982 8.3676 8.0305
O 6.5865 6.4627 9.3141
O 5.4095 0.6697 7.1298
O 5.9342 4.7206 2.4642
O 6.4408 8.8451 4.0844
O 4.9030 4.7942 8.7500
O 2.0861 0.8673 9.2336
O 0.1642 0.7863 1.3678
O 7.3126 2.9108 3.4556
O 5.4764 8.2865 0.1647
O 3.6170 5.3632 6.0669
O 0.2499 6.2431 5.9427
O 3.5314 1.6662 1.2436
O 0.9759 2.6912 0.0842
O 1.6951 4.9182 4.5680
O 4.1150 6.6818 1.1668
Sm 1.4024 1.9534 7.1568
Sm 5.1837 3.1495 6.9070
Sm 6.1600 7.2004 2.2414
Sm 2.3788 6.0044 2.4912
Co 4.4815 3.5254 1.2088
Co 0.7003 1.0515 3.4903
Co 3.0810 5.6285 8.1894
Co 6.8622 8.1023 5.9080
```

Computed properties:
Formation energy from raw total energies (eV/atom): -2.44
Symmetry: P2_1/c (14)
Calculated volume (Å³/atom): 8.98
Electronic total energy (eV per atom): -8.35

***

2.
Density functional theory data (GGA-PBEsol) for crystalline KSr2Ca at its relaxed geometry.

```
4
Lattice="-0.9233 -1.6597 -3.5329 2.8717 -2.1617 1.7801 -9.4515 -7.5869 6.0344" Properties=species:S:1:pos:R:3 pbc="T T T"
Sr -9.3317 -7.4907 5.9578
Sr -6.0435 -7.5440 3.6041
K -1.4595 -3.8643 0.6774
Ca -4.8457 -3.8897 3.0937
```

Computed properties:
Symmetry: Cmm2 (35)
Energy relative to the lowest polymorph listed for this composition (meV per atom): 14
Calculated volume (Å³/atom): 51.35
Electronic total energy (eV per atom): -1.66

***

3.
Density functional theory data (GGA-PBEsol) for crystalline Be2IN at its relaxed geometry.

```
4
Lattice="-3.8688 -0.3375 -1.5347 -0.6169 -1.7504 -3.7406 -1.8167 -3.7497 -0.2765" Properties=species:S:1:pos:R:3 pbc="T T T"
Be -4.7268 -4.3782 -4.1639
Be -1.5756 -1.4594 -1.3880
N 0.0000 0.0000 0.0000
I -3.1512 -2.9188 -2.7759
```

Computed properties:
Formation energy from raw total energies (eV/atom): 1.50
Symmetry: Fm-3m (225)
Calculated volume (Å³/atom): 12.87
Electronic total energy (eV per atom): -3.07

***

4.
Density functional theory data (GGA-PBEsol) for crystalline KRb2Ca at its relaxed geometry.

```
4
Lattice="-1.3271 -3.4486 6.2188 3.3914 -6.2146 1.4847 5.0578 -0.2154 5.1671" Properties=species:S:1:pos:R:3 pbc="T T T"
K 0.0000 0.0000 0.0000
Ca 3.5611 -4.9393 6.4353
Rb 5.3416 -7.4089 9.6529
Rb 1.7805 -2.4696 3.2176
```

Computed properties:
Symmetry: Fm-3m (225)
Calculated volume (Å³/atom): 66.91
Electronic total energy (eV per atom): -1.15

***

5.
Density functional theory data (GGA-PBEsol) for crystalline SrOs2Ru at its relaxed geometry.

```
4
Lattice="2.8018 0.0000 0.0000 0.0000 4.9157 0.0000 -1.4009 -2.4578 5.0243" Properties=species:S:1:pos:R:3 pbc="T T T"
Os 1.4009 2.4578 4.6726
Os 0.0000 2.4578 2.5169
Sr 1.4009 0.0000 2.5188
Ru 1.4009 2.4578 0.3403
```

Computed properties:
Symmetry: Imm2 (44)
Energy relative to the lowest polymorph listed for this composition (meV per atom): 149
Calculated volume (Å³/atom): 17.30
Electronic total energy (eV per atom): -8.24

***

6.
Density functional theory data (GGA-PBEsol) for crystalline Ta2Fe2Au at its relaxed geometry.

```
10
Lattice="2.9616 0.0000 0.0000 0.0000 6.9478 0.0000 0.0000 0.0000 6.9478" Properties=species:S:1:pos:R:3 pbc="T T T"
Fe 0.0000 2.5345 6.0084
Fe 0.0000 0.9394 2.5345
Fe 0.0000 4.4133 0.9394
Fe 0.0000 6.0084 4.4133
Au 0.0000 0.0000 0.0000
Au 0.0000 3.4739 3.4739
Ta 1.4808 5.8234 2.3495
Ta 1.4808 4.5984 5.8234
Ta 1.4808 1.1245 4.5984
Ta 1.4808 2.3495 1.1245
```

Computed properties:
Symmetry: P4/mbm (127)
Calculated volume (Å³/atom): 14.30
Electronic total energy (eV per atom): -9.51

***

7.
Density functional theory data (GGA-PBEsol) for crystalline Zn2InP at its relaxed geometry.

```
4
Lattice="3.0184 0.2921 0.0000 -0.3764 3.0090 0.0000 0.0000 0.0000 7.5481" Properties=species:S:1:pos:R:3 pbc="T T T"
In 0.0000 0.0000 3.7805
Zn 0.0000 0.0000 0.0572
Zn 1.3210 1.6506 5.9477
P 1.3210 1.6506 1.5369
```

Computed properties:
Symmetry: Cmm2 (35)
Calculated volume (Å³/atom): 17.35
Electronic total energy (eV per atom): -2.75

***

8.
Density functional theory data (GGA-PBEsol) for crystalline ZrGaC3 at its relaxed geometry.

```
5
Lattice="3.8673 0.0000 0.0000 0.0000 3.8673 0.0000 0.0000 0.0000 3.8673" Properties=species:S:1:pos:R:3 pbc="T T T"
Ga 0.0000 0.0000 0.0000
C 1.9336 0.0000 0.0000
C 0.0000 1.9336 0.0000
C 0.0000 0.0000 1.9336
Zr 1.9336 1.9336 1.9336
```

Computed properties:
Symmetry: Pm-3m (221)
Calculated volume (Å³/atom): 11.57
Electronic total energy (eV per atom): -6.53

***

9.
Density functional theory data (GGA-PBEsol) for crystalline Sb2HPdI at its relaxed geometry.

```
5
Lattice="5.1045 0.0000 0.0000 0.0000 5.1045 0.0000 0.0000 0.0000 5.7292" Properties=species:S:1:pos:R:3 pbc="T T T"
Sb 0.0000 2.5522 0.0000
Sb 2.5522 0.0000 0.0000
H 2.5522 2.5522 2.8646
Pd 0.0000 0.0000 0.0000
I 0.0000 0.0000 2.8646
```

Computed properties:
Symmetry: P4/mmm (123)
Calculated volume (Å³/atom): 29.86
Electronic total energy (eV per atom): -3.27

***

10.
Density functional theory data (GGA-PBEsol) for crystalline La2Fe2Si2C at its relaxed geometry.

```
7
Lattice="-3.3517 -0.2319 -2.1433 -1.7736 -5.4782 -0.3385 -4.6894 -0.4691 3.6793" Properties=species:S:1:pos:R:3 pbc="T T T"
Si -2.4580 -2.2555 0.3829
Si -7.3568 -3.9237 0.8146
La -4.3443 -4.7013 -0.1074
La -5.4705 -1.4779 1.3049
Fe -6.1882 -4.2982 2.7326
Fe -3.6266 -1.8811 -1.5350
C 0.0000 0.0000 0.0000
```

Computed properties:
Formation energy from raw total energies (eV/atom): -0.64
Symmetry: C2/m (12)
Calculated volume (Å³/atom): 17.07
Electronic total energy (eV per atom): -7.75

***

11.
Density functional theory data (GGA-PBEsol) for crystalline KSnI3 at its relaxed geometry.

```
20
Lattice="7.9983 0.0000 0.0000 0.0000 8.6957 0.0000 0.0000 0.0000 11.7700" Properties=species:S:1:pos:R:3 pbc="T T T"
I 5.4375 6.0016 11.0811
I 1.4384 7.0419 5.1962
I 4.9961 8.4189 2.9425
I 6.5599 1.6538 11.0811
I 2.5608 2.6940 5.1962
I 5.4375 6.0016 6.5738
I 3.0023 0.2768 8.8275
I 6.5599 1.6538 6.5738
I 7.0014 4.0710 2.9425
I 2.5608 2.6940 0.6888
I 0.9969 4.6246 8.8275
I 1.4384 7.0419 0.6888
Sn 0.0000 4.3478 5.8850
Sn 0.0000 4.3478 0.0000
Sn 3.9992 0.0000 0.0000
Sn 3.9992 0.0000 5.8850
K 4.3274 3.5019 8.8275
K 0.3282 0.8460 2.9425
K 3.6709 5.1938 2.9425
K 7.6701 7.8497 8.8275
```

Computed properties:
Formation energy from raw total energies (eV/atom): -0.87
Symmetry: Pnma (62)
Calculated volume (Å³/atom): 40.93
Electronic total energy (eV per atom): -3.01

***

12.
Density functional theory data (GGA-PBEsol) for crystalline Hf2Be2Ga at its relaxed geometry.

```
10
Lattice="-2.6765 -2.7734 0.2542 1.8748 -1.2868 5.6996 -4.0077 4.0728 2.2378" Properties=species:S:1:pos:R:3 pbc="T T T"
Ga 0.0000 0.0000 0.0000
Ga -1.0664 1.3930 3.9687
Hf -1.3954 -1.1239 2.3916
Hf -3.7027 1.1207 2.5881
Hf -1.1067 -1.1082 5.6036
Hf -3.4139 1.1364 5.8001
Be -1.2751 1.3724 1.5478
Be 0.6732 -0.2983 3.8332
Be -0.8578 1.4136 6.3896
Be -2.8060 3.0842 4.1042
```

Computed properties:
Symmetry: P4/mbm (127)
Calculated volume (Å³/atom): 14.55
Electronic total energy (eV per atom): -6.84

***

Quick rundown of total magnetization, same order as above: 3.00 0.00 0.00 0.00 0.00 0.00 0.00 0.00 1.03 0.00 0.00 0.00 μB/f.u.